(1)
A plane-wave DFT calculation with meta-GGA SCAN was carried out for a crystal of CaAgGe relaxed with PBEsol.

Unit cell a=7.1643 b=4.4807 c=7.7800 alpha=90.00 beta=90.00 gamma=90.00
Positions (direct):
Ca 0.0019 0.2500 0.2038
Ca 0.4981 0.7500 0.7038
Ca 0.5019 0.2500 0.2962
Ca 0.9981 0.7500 0.7962
Ag 0.1866 0.2500 0.5791
Ag 0.3134 0.7500 0.0791
Ag 0.6866 0.2500 0.9209
Ag 0.8134 0.7500 0.4209
Ge 0.2035 0.7500 0.4059
Ge 0.2965 0.2500 0.9059
Ge 0.7035 0.7500 0.0941
Ge 0.7965 0.2500 0.5941

E_tot ... -20.562 eV per atom
E_form ... -0.5231 eV per atom

(2)
A plane-wave DFT calculation with meta-GGA SCAN was carried out for a crystal of Ca3Ag2Ge3O12 relaxed with PBEsol.

Unit cell a=10.8705 b=10.8705 c=10.8705 alpha=109.47 beta=109.47 gamma=109.47
Positions (direct):
Ca 0.1250 0.2500 0.3750
Ca 0.1250 0.3750 0.7500
Ca 0.2500 0.3750 0.1250
Ca 0.2500 0.8750 0.6250
Ca 0.3750 0.1250 0.2500
Ca 0.3750 0.7500 0.1250
Ca 0.6250 0.2500 0.8750
Ca 0.6250 0.8750 0.7500
Ca 0.7500 0.1250 0.3750
Ca 0.7500 0.6250 0.8750
Ca 0.8750 0.6250 0.2500
Ca 0.8750 0.7500 0.6250
Ag 0.0000 0.0000 0.0000
Ag 0.0000 0.0000 0.5000
Ag 0.0000 0.5000 0.0000
Ag 0.0000 0.5000 0.5000
Ag 0.5000 0.0000 0.0000
Ag 0.5000 0.0000 0.5000
Ag 0.5000 0.5000 0.0000
Ag 0.5000 0.5000 0.5000
Ge 0.1250 0.7500 0.8750
Ge 0.1250 0.8750 0.2500
Ge 0.2500 0.1250 0.8750
Ge 0.2500 0.6250 0.3750
Ge 0.3750 0.2500 0.6250
Ge 0.3750 0.6250 0.7500
Ge 0.6250 0.3750 0.2500
Ge 0.6250 0.7500 0.3750
Ge 0.7500 0.3750 0.6250
Ge 0.7500 0.8750 0.1250
Ge 0.8750 0.1250 0.7500
Ge 0.8750 0.2500 0.1250
O 0.0244 0.2168 0.1251
O 0.0244 0.3077 0.8993
O 0.0916 0.7168 0.6923
O 0.0916 0.8749 0.3993
O 0.1007 0.6251 0.4084
O 0.1007 0.9756 0.6923
O 0.1251 0.0244 0.2168
O 0.1251 0.6007 0.9084
O 0.1923 0.2168 0.5916
O 0.1923 0.4756 0.6007
O 0.2168 0.1251 0.0244
O 0.2168 0.5916 0.1923
O 0.2832 0.3077 0.9084
O 0.2832 0.4756 0.3749
O 0.3077 0.8993 0.0244
O 0.3077 0.9084 0.2832
O 0.3749 0.2832 0.4756
O 0.3749 0.5916 0.8993
O 0.3993 0.0916 0.8749
O 0.3993 0.8077 0.5244
O 0.4084 0.1007 0.6251
O 0.4084 0.8077 0.7832
O 0.4756 0.3749 0.2832
O 0.4756 0.6007 0.1923
O 0.5244 0.3993 0.8077
O 0.5244 0.6251 0.7168
O 0.5916 0.1923 0.2168
O 0.5916 0.8993 0.3749
O 0.6007 0.1923 0.4756
O 0.6007 0.9084 0.1251
O 0.6251 0.4084 0.1007
O 0.6251 0.7168 0.5244
O 0.6923 0.0916 0.7168
O 0.6923 0.1007 0.9756
O 0.7168 0.5244 0.6251
O 0.7168 0.6923 0.0916
O 0.7832 0.4084 0.8077
O 0.7832 0.8749 0.9756
O 0.8077 0.5244 0.3993
O 0.8077 0.7832 0.4084
O 0.8749 0.3993 0.0916
O 0.8749 0.9756 0.7832
O 0.8993 0.0244 0.3077
O 0.8993 0.3749 0.5916
O 0.9084 0.1251 0.6007
O 0.9084 0.2832 0.3077
O 0.9756 0.6923 0.1007
O 0.9756 0.7832 0.8749

E_tot ... -13.071 eV per atom
E_form (uncorrected) ... -1883 meV per atom

(3)
A plane-wave DFT calculation with meta-GGA SCAN was carried out for a crystal of Ca2AgH2 relaxed with PBEsol.

Unit cell a=6.7618 b=6.7618 c=6.7618 alpha=148.11 beta=148.11 gamma=45.73
Positions (direct):
Ca 0.1482 0.1482 0.0000
Ca 0.8518 0.8518 0.0000
Ag 0.5000 0.5000 0.0000
H 0.2500 0.7500 0.5000
H 0.7500 0.2500 0.5000

E_tot ... -12.012 eV per atom

(4)
A plane-wave DFT calculation with meta-GGA SCAN was carried out for a crystal of Ca2AgHg relaxed with PBEsol.

Unit cell a=7.8451 b=7.8451 c=7.8451 alpha=31.08 beta=31.08 gamma=31.08
Positions (direct):
Ca 0.2454 0.2454 0.2454
Ca 0.7546 0.7546 0.7546
Ag 0.5000 0.5000 0.5000
Hg 0.0000 0.0000 0.0000

E_tot ... -30.079 eV per atom
E_form ... -0.3641 eV per atom

(5)
A plane-wave DFT calculation with meta-GGA SCAN was carried out for a crystal of CaAg2Hg relaxed with PBEsol.

Unit cell a=4.3896 b=4.3896 c=4.3316 alpha=90.00 beta=90.00 gamma=90.00
Positions (direct):
Ca 0.0000 0.0000 0.0000
Ag 0.0000 0.5000 0.5000
Ag 0.5000 0.0000 0.5000
Hg 0.5000 0.5000 0.0000

E_tot ... -35.369 eV per atom
E_form ... -0.2285 eV per atom

(6)
A plane-wave DFT calculation with meta-GGA SCAN was carried out for a crystal of CaAg3Hg relaxed with PBEsol.

Unit cell a=5.3230 b=5.3230 c=5.3230 alpha=90.00 beta=90.00 gamma=90.00
Positions (direct):
Ca 0.0000 0.0000 0.0000
Ag 0.0000 0.0000 0.5000
Ag 0.0000 0.5000 0.0000
Ag 0.5000 0.0000 0.0000
Hg 0.5000 0.5000 0.5000

E_tot ... -33.491 eV per atom
E_form ... 0.8954 eV per atom

(7)
A plane-wave DFT calculation with meta-GGA SCAN was carried out for a crystal of CaAgHg2 relaxed with PBEsol.

Unit cell a=3.6975 b=3.6975 c=6.5439 alpha=90.00 beta=90.00 gamma=90.00
Positions (direct):
Ca 0.0000 0.0000 0.0000
Ag 0.5000 0.5000 0.7303
Hg 0.0000 0.0000 0.5176
Hg 0.5000 0.5000 0.2639

E_tot ... -44.658 eV per atom
E_form ... -0.3176 eV per atom

(8)
A plane-wave DFT calculation with meta-GGA SCAN was carried out for a crystal of CaAg4Hg relaxed with PBEsol.

Unit cell a=5.4961 b=5.4961 c=5.4961 alpha=60.00 beta=60.00 gamma=60.00
Positions (direct):
Ca 0.0000 0.0000 0.0000
Ag 0.3752 0.3752 0.3752
Ag 0.3752 0.3752 0.8744
Ag 0.3752 0.8744 0.3752
Ag 0.8744 0.3752 0.3752
Hg 0.7500 0.7500 0.7500

E_tot ... -34.091 eV per atom
E_form ... -0.2082 eV per atom

(9)
A plane-wave DFT calculation with meta-GGA SCAN was carried out for a crystal of Ca2AgHg relaxed with PBEsol.

Unit cell a=3.7006 b=3.7006 c=7.2498 alpha=90.00 beta=90.00 gamma=90.00
Positions (direct):
Ca 0.0000 0.0000 0.2471
Ca 0.0000 0.0000 0.7529
Ag 0.5000 0.5000 0.0000
Hg 0.5000 0.5000 0.5000

E_tot ... -30.227 eV per atom
E_form ... -0.5121 eV per atom

(10)
A plane-wave DFT calculation with meta-GGA SCAN was carried out for a crystal of CaAgHg2 relaxed with PBEsol.

Unit cell a=4.9563 b=4.9563 c=4.9563 alpha=60.00 beta=60.00 gamma=60.00
Positions (direct):
Ca 0.0000 0.0000 0.0000
Ag 0.5000 0.5000 0.5000
Hg 0.2500 0.2500 0.2500
Hg 0.7500 0.7500 0.7500

E_tot ... -44.751 eV per atom
E_form ... -0.4101 eV per atom

(11)
A plane-wave DFT calculation with meta-GGA SCAN was carried out for a crystal of CaAg2Hg relaxed with PBEsol.

Unit cell a=4.8800 b=4.8800 c=4.8800 alpha=60.00 beta=60.00 gamma=60.00
Positions (direct):
Ca 0.0000 0.0000 0.0000
Ag 0.5000 0.5000 0.5000
Ag 0.7500 0.7500 0.7500
Hg 0.2500 0.2500 0.2500

E_tot ... -35.427 eV per atom
E_form ... -0.2861 eV per atom

(12)
A plane-wave DFT calculation with meta-GGA SCAN was carried out for a crystal of CaAg2Hg relaxed with PBEsol.

Unit cell a=5.1883 b=5.1883 c=5.1883 alpha=129.20 beta=129.20 gamma=74.69
Positions (direct):
Ca 0.0000 0.0000 0.0000
Ag 0.2500 0.7500 0.5000
Ag 0.5000 0.5000 0.0000
Hg 0.7500 0.2500 0.5000

E_tot ... -35.429 eV per atom
E_form ... -0.2884 eV per atom

(13)
A plane-wave DFT calculation with meta-GGA SCAN was carried out for a crystal of Ca2AgHg2 relaxed with PBEsol.

Unit cell a=7.6140 b=7.6140 c=4.3444 alpha=90.00 beta=90.00 gamma=90.00
Positions (direct):
Ca 0.1700 0.3300 0.0000
Ca 0.3300 0.8300 0.0000
Ca 0.6700 0.1700 0.0000
Ca 0.8300 0.6700 0.0000
Ag 0.0000 0.0000 0.5000
Ag 0.5000 0.5000 0.5000
Hg 0.1356 0.6356 0.5000
Hg 0.3644 0.1356 0.5000
Hg 0.6356 0.8644 0.5000
Hg 0.8644 0.3644 0.5000

E_tot ... -37.903 eV per atom
E_form ... -0.4976 eV per atom

(14)
A plane-wave DFT calculation with meta-GGA SCAN was carried out for a crystal of CaAgHg2 relaxed with PBEsol.

Unit cell a=5.1020 b=5.1020 c=5.1020 alpha=124.60 beta=124.60 gamma=82.20
Positions (direct):
Ca 0.0000 0.0000 0.0000
Ag 0.7500 0.2500 0.5000
Hg 0.2500 0.7500 0.5000
Hg 0.5000 0.5000 0.0000

E_tot ... -44.698 eV per atom
E_form ... -0.3570 eV per atom

(15)
A plane-wave DFT calculation with meta-GGA SCAN was carried out for a crystal of Ca2AgHg relaxed with PBEsol.

Unit cell a=3.7734 b=3.7734 c=7.4090 alpha=90.00 beta=90.00 gamma=90.00
Positions (direct):
Ca 0.0000 0.0000 0.0000
Ca 0.5000 0.5000 0.3740
Ag 0.5000 0.5000 0.7902
Hg 0.0000 0.0000 0.5852

E_tot ... -30.067 eV per atom
E_form ... -0.3523 eV per atom

(16)
A plane-wave DFT calculation with meta-GGA SCAN was carried out for a crystal of CaAgHg2 relaxed with PBEsol.

Unit cell a=4.9623 b=4.9623 c=4.9623 alpha=60.00 beta=60.00 gamma=60.00
Positions (direct):
Ca 0.0000 0.0000 0.0000
Ag 0.7500 0.7500 0.7500
Hg 0.2500 0.2500 0.2500
Hg 0.5000 0.5000 0.5000

E_tot ... -44.696 eV per atom
E_form ... -0.3559 eV per atom

(17)
A plane-wave DFT calculation with meta-GGA SCAN was carried out for a crystal of Ca2Ag2Hg relaxed with PBEsol.

Unit cell a=7.7463 b=7.7463 c=3.9764 alpha=90.00 beta=90.00 gamma=90.00
Positions (direct):
Ca 0.1762 0.3238 0.0000
Ca 0.3238 0.8238 0.0000
Ca 0.6762 0.1762 0.0000
Ca 0.8238 0.6762 0.0000
Ag 0.1248 0.6248 0.5000
Ag 0.3752 0.1248 0.5000
Ag 0.6248 0.8752 0.5000
Ag 0.8752 0.3752 0.5000
Hg 0.0000 0.0000 0.5000
Hg 0.5000 0.5000 0.5000

E_tot ... -30.435 eV per atom
E_form ... -0.3899 eV per atom

(18)
A plane-wave DFT calculation with meta-GGA SCAN was carried out for a crystal of CaAg2Hg2 relaxed with PBEsol.

Unit cell a=7.3055 b=7.3055 c=7.3055 alpha=147.71 beta=147.71 gamma=46.32
Positions (direct):
Ca 0.0000 0.0000 0.0000
Ag 0.2500 0.7500 0.5000
Ag 0.7500 0.2500 0.5000
Hg 0.3948 0.3948 0.0000
Hg 0.6052 0.6052 0.0000

E_tot ... -42.015 eV per atom
E_form ... -0.2693 eV per atom

(19)
A plane-wave DFT calculation with meta-GGA SCAN was carried out for a crystal of CaAg2Hg relaxed with PBEsol.

Unit cell a=3.5702 b=3.5702 c=6.5265 alpha=90.00 beta=90.00 gamma=90.00
Positions (direct):
Ca 0.0000 0.0000 0.0000
Ag 0.0000 0.0000 0.5164
Ag 0.5000 0.5000 0.7194
Hg 0.5000 0.5000 0.2811

E_tot ... -35.426 eV per atom
E_form ... -0.2853 eV per atom

(20)
A plane-wave DFT calculation with meta-GGA SCAN was carried out for a crystal of Ca2AgHg relaxed with PBEsol.

Unit cell a=3.7004 b=5.1699 c=5.1701 alpha=90.00 beta=90.00 gamma=90.00
Positions (direct):
Ca 0.0000 0.0000 0.0000
Ca 0.0000 0.5000 0.4988
Ag 0.5000 0.0000 0.5007
Hg 0.5000 0.5000 0.9983

E_tot ... -30.228 eV per atom
E_form ... -0.5135 eV per atom

Number 1: ρ 5.87 g/cm³, total magnetic moment 0.00 μB/cell. Number 2: ρ 5.01 g/cm³, total magnetic moment 16.01 μB/cell. Number 3: ρ 3.67 g/cm³, total magnetic moment 0.00 μB/cell. Number 4: ρ 5.65 g/cm³, total magnetic moment 0.00 μB/cell. Number 5: ρ 9.08 g/cm³, total magnetic moment 0.00 μB/cell. Number 6: ρ 6.21 g/cm³, total magnetic moment 0.00 μB/cell. Number 7: ρ 10.19 g/cm³, total magnetic moment 0.00 μB/cell. Number 8: ρ 9.51 g/cm³, total magnetic moment 0.00 μB/cell. Number 9: ρ 6.50 g/cm³, total magnetic moment 0.00 μB/cell. Number 10: ρ 10.59 g/cm³, total magnetic moment 0.00 μB/cell. Number 11: ρ 9.22 g/cm³, total magnetic moment 0.00 μB/cell. Number 12: ρ 9.28 g/cm³, total magnetic moment 0.00 μB/cell. Number 13: ρ 7.77 g/cm³, total magnetic moment 0.00 μB/cell. Number 14: ρ 10.54 g/cm³, total magnetic moment 0.00 μB/cell. Number 15: ρ 6.12 g/cm³, total magnetic moment 0.00 μB/cell. Number 16: ρ 10.55 g/cm³, total magnetic moment 0.00 μB/cell. Number 17: ρ 6.91 g/cm³, total magnetic moment 0.00 μB/cell. Number 18: ρ 9.84 g/cm³, total magnetic moment 0.00 μB/cell. Number 19: ρ 9.11 g/cm³, total magnetic moment 0.00 μB/cell. Number 20: ρ 6.52 g/cm³, total magnetic moment 0.00 μB/cell.